GaAgPtPb2 | PBE-GGA | optimized geometry

Values from the calculation:
ΔH_f (0 K) = -12.6 kJ per mole of atoms
Mass density = 11.37 Mg/m³
Energy relative to the lowest polymorph listed for this composition = 0.032 eV per atom
Total moment = 0.00 μB per formula unit

```
GaAgPtPb2
1.0
-0.232 1.660 3.935
-3.599 -4.182 1.560
5.576 -1.337 -1.404
Pt Ga Pb Ag
1 1 2 1
Cartesian
-2.715 -4.177 1.556
-2.023 -2.378 3.161
1.279 -1.204 2.864
4.019 -0.525 0.425
-0.895 -2.030 0.753
```

Be9Nb2Re | PBE-GGA | optimized geometry

Values from the calculation:
ΔH_f (0 K) = -19.8 kJ per mole of atoms
Mass density = 6.21 Mg/m³
Energy relative to the lowest polymorph listed for this composition = 0.005 eV per atom
Total moment = 0.00 μB per formula unit

```
Be9Nb2Re
1.0
-0.850 -1.712 4.050
4.171 -0.072 -1.631
2.477 12.457 5.786
Be Nb Re
18 4 2
Cartesian
4.244 4.254 1.458
1.239 6.228 2.893
1.554 6.418 6.747
1.858 9.342 4.340
1.976 7.270 4.733
3.230 0.429 2.091
2.681 8.177 6.496
2.145 9.392 8.128
4.219 9.356 7.317
1.579 1.316 0.888
2.170 4.290 2.269
3.653 1.281 0.077
0.000 0.000 0.000
3.116 2.496 1.709
2.568 10.243 6.115
3.627 6.383 5.936
0.619 3.114 1.447
3.821 3.403 3.472
1.967 4.584 4.827
3.831 6.088 3.378
0.919 -0.687 2.379
4.879 11.360 5.827
4.355 8.724 4.602
1.443 1.949 3.603
```

LaYErIn | PBE-GGA | optimized geometry

Values from the calculation:
ΔH_f (0 K) = -8.9 kJ per mole of atoms
Mass density = 7.21 Mg/m³
Energy relative to the lowest polymorph listed for this composition = 0.075 eV per atom
Total moment = 1.39 μB per formula unit

```
LaYErIn
1.0
5.487 0.000 0.000
0.000 5.487 0.000
-2.743 -2.743 3.900
Y In La Er
1 1 1 1
Cartesian
0.000 2.743 1.950
2.743 2.743 0.000
0.000 0.000 0.000
2.743 0.000 1.950
```

LiPb2IBr4 | PBE-GGA | optimized geometry

Values from the calculation:
ΔE_f (raw) = -7.91 eV per formula unit
Mass density = 5.48 Mg/m³
Total moment = 0.00 μB per formula unit

```
LiPb2IBr4
1.0
4.217 0.000 0.000
2.108 6.758 0.239
2.108 1.511 9.291
Br Pb Li I
4 2 1 1
Cartesian
4.217 0.845 2.518
4.217 7.425 7.012
4.217 3.395 8.744
4.217 4.875 0.786
2.108 2.967 2.362
6.325 5.303 7.168
0.000 0.000 0.000
4.217 4.135 4.765
```

YTiCoW2 | PBE-GGA | optimized geometry

Values from the calculation:
ΔH_f (0 K) = 279.2 kJ per mole of atoms
Mass density = 8.89 Mg/m³
Energy relative to the lowest polymorph listed for this composition = 1.035 eV per atom
Total moment = 0.00 μB per formula unit

```
YTiCoW2
1.0
-2.661 -2.844 -2.749
3.682 -2.697 -0.773
-1.126 -2.631 3.813
Ti W Y Co
1 2 1 1
Cartesian
1.841 -1.348 -0.387
-1.331 -1.422 -1.375
-0.563 -1.316 1.906
0.000 0.000 0.000
-0.053 -4.086 0.145
```

Pm2PrBr | PBE-GGA | optimized geometry

Values from the calculation:
ΔE_f (raw) = -2.27 eV per formula unit
Mass density = 6.63 Mg/m³
Energy relative to the lowest polymorph listed for this composition = 0.000 eV per atom
Total moment = 0.00 μB per formula unit

```
Pm2PrBr
1.0
-2.551 -2.750 0.083
0.075 -2.546 2.755
-7.162 4.287 6.713
Pm Br Pr
2 1 1
Cartesian
-7.391 -0.600 7.311
-2.246 -0.408 2.239
0.000 0.000 0.000
-4.819 -0.504 4.775
```